Record 1
Here is an optimized crystal structure of BaTlIn2Ni from the Alexandria database. Energies are from PBE.

Calculated values
* V: 27.76 A^3/atom
* offset from the most stable computed form: 0 meV/atom
* Fermi-level density of states: 3.6 states/eV/f.u.
* M_tot: 0.00 μB/f.u.

Geometry as extended XYZ:
```
5
Lattice="5.1404 0.0000 0.0000 0.0000 5.1404 0.0000 0.0000 0.0000 5.2524" Properties=species:S:1:pos:R:3 pbc="T T T"
Ba 2.5702 2.5702 2.6262
In 0.0000 2.5702 0.0000
In 2.5702 0.0000 0.0000
Tl 0.0000 0.0000 2.6262
Ni 0.0000 0.0000 0.0000
```



Record 2
Here is an optimized crystal structure of BaZnIn2Ni from the Alexandria database. Energies are from PBE.

Calculated values
* V: 25.17 A^3/atom
* Fermi-level density of states: 2.4 states/eV/f.u.
* M_tot: 0.00 μB/f.u.

Geometry as extended XYZ:
```
5
Lattice="-0.3528 0.6295 5.0001 -4.5285 -2.2389 -0.0376 2.1588 -4.3783 0.7036" Properties=species:S:1:pos:R:3 pbc="T T T"
Ni 0.0000 0.0000 0.0000
Ba -1.3613 -2.9938 2.8330
Zn 1.0794 -2.1892 0.3518
In -0.1764 0.3148 2.5000
In -2.2643 -1.1194 -0.0188
```



Record 3
Here is an optimized crystal structure of Ba2ZnIn6Ni from the Alexandria database. Energies are from PBE.

Calculated values
* V: 28.82 A^3/atom
* Fermi-level density of states: 3.4 states/eV/f.u.
* M_tot: 0.00 μB/f.u.

Geometry as extended XYZ:
```
10
Lattice="7.0877 0.0065 -0.0073 -0.0078 7.7848 -0.4509 3.5459 3.5744 5.0119" Properties=species:S:1:pos:R:3 pbc="T T T"
In 8.6182 9.8003 4.2618
In 3.5371 3.1288 2.4913
In 5.5402 9.7895 4.2564
In 2.0075 1.5653 0.2920
In 7.0886 8.2368 2.0624
In 5.0856 1.5762 0.2974
Ba 3.5407 6.9474 2.6584
Ba 7.0850 4.4182 1.8954
Ni 0.0000 0.0000 0.0000
Zn 3.5399 3.8956 -0.2291
```



Record 4
Here is an optimized crystal structure of Ba3NpIn2O8 from the Alexandria database. Energies are from PBE.

Calculated values
* V: 18.73 A^3/atom
* Fermi-level density of states: 11.7 states/eV/f.u.
* M_tot: 2.99 μB/f.u.
* E_form (uncorrected): -31.5 eV/f.u.

Geometry as extended XYZ:
```
14
Lattice="-4.6755 -3.7142 1.6772 4.9307 -2.3537 -2.9356 3.5094 -1.2892 6.9282" Properties=species:S:1:pos:R:3 pbc="T T T"
In 2.4188 -3.0608 -0.0355
In 1.3458 -4.2964 5.7052
Ba 0.0000 0.0000 0.0000
Ba 3.9721 -3.6314 3.0311
Ba -0.2076 -3.7258 2.6386
O 1.6336 -2.4612 4.7172
O -0.7533 -4.3573 5.5734
O 1.7638 -5.5590 4.0747
O 2.1309 -4.8960 0.9526
O -1.2781 -3.3325 0.5253
O 2.0007 -1.7983 1.5950
O 4.5178 -2.9999 0.0964
O 5.0426 -4.0247 5.1444
Np 1.7547 -0.6446 3.4641
```



Record 5
Here is an optimized crystal structure of BaNpIn2O8 from the Alexandria database. Energies are from PBE.

Calculated values
* V: 15.68 A^3/atom
* M_tot: 0.96 μB/f.u.
* E_form (uncorrected): -23.3 eV/f.u.

Geometry as extended XYZ:
```
12
Lattice="5.0788 0.0243 -0.0032 0.0710 5.0980 -0.0052 0.0046 0.0074 7.2700" Properties=species:S:1:pos:R:3 pbc="T T T"
O 3.2458 3.4490 3.6295
O 0.9938 4.0852 1.4188
O 3.5842 3.6278 -0.0059
O 1.5655 1.4946 -0.0025
O 4.1577 1.0401 1.4199
O 4.1605 1.0446 5.8427
O 1.9085 1.6808 3.6321
O 0.9966 4.0897 5.8416
Ba 0.0023 0.0037 3.6350
In 2.5759 2.5629 1.6917
In 2.5784 2.5669 5.5699
Np 0.0000 0.0000 0.0000
```



Record 6
Here is an optimized crystal structure of Ba2NpInPt6 from the Alexandria database. Energies are from PBE.

Calculated values
* V: 27.60 A^3/atom
* Fermi-level density of states: 7.3 states/eV/f.u.
* M_tot: 2.06 μB/f.u.

Geometry as extended XYZ:
```
10
Lattice="7.3085 -0.0004 0.0000 0.0005 7.3085 0.0000 3.6545 3.6540 5.1679" Properties=species:S:1:pos:R:3 pbc="T T T"
Pt 7.3089 7.3081 2.6407
Pt 1.8675 5.4412 0.0000
Pt 9.0961 9.0950 5.1679
Pt 3.6545 3.6540 2.5273
Pt 1.8674 1.8672 0.0000
Pt 5.4414 1.8669 0.0000
Np 3.6545 3.6541 0.0000
In 0.0000 0.0000 0.0000
Ba 7.3087 3.6539 2.5840
Ba 3.6547 7.3083 2.5840
```



Record 7
Here is an optimized crystal structure of Ba2NpInS6 from the Alexandria database. Energies are from PBE.

Calculated values
* V: 26.77 A^3/atom
* Fermi-level density of states: 5.6 states/eV/f.u.
* M_tot: 2.00 μB/f.u.
* E_form (uncorrected): -13.9 eV/f.u.

Geometry as extended XYZ:
```
20
Lattice="7.1343 0.0000 -0.0045 0.0000 7.3472 0.0000 0.0578 0.0000 10.2130" Properties=species:S:1:pos:R:3 pbc="T T T"
S 1.4382 1.5344 0.3960
S 4.1178 0.0752 2.5749
S 2.1579 5.2080 4.7083
S 5.1076 2.1854 9.8172
S 0.5796 3.5984 7.6837
S 6.6125 3.7488 2.5248
S 5.6805 5.8590 5.4955
S 2.0844 5.1618 0.3913
S 5.7539 5.8128 9.8125
S 3.0743 7.2720 7.6336
S 5.0342 2.1392 5.5002
S 1.5116 1.4882 4.7130
Ba 0.1268 6.9076 2.5718
Ba 3.7229 4.1132 7.6760
Ba 7.0653 0.4396 7.6367
Ba 3.4692 3.2340 2.5325
In 3.5671 0.0000 -0.0023
In 0.0289 3.6736 5.1065
Np 0.0000 3.6736 0.0000
Np 3.5960 0.0000 5.1042
```



Record 8
Here is an optimized crystal structure of Ba2NpInSe6 from the Alexandria database. Energies are from PBE.

Calculated values
* V: 30.63 A^3/atom
* Fermi-level density of states: 5.2 states/eV/f.u.
* M_tot: 2.00 μB/f.u.
* E_form (uncorrected): -12.7 eV/f.u.

Geometry as extended XYZ:
```
20
Lattice="7.3782 0.0000 0.0128 0.0000 7.7743 0.0000 0.0833 0.0000 10.6801" Properties=species:S:1:pos:R:3 pbc="T T T"
In 3.6891 0.0000 0.0064
In 0.0416 3.8872 5.3400
Ba 7.2616 0.5939 7.9955
Ba 3.5309 3.2933 2.6491
Ba 0.1999 7.1805 2.6974
Ba 3.9306 4.4810 8.0438
Np 0.0000 3.8872 0.0000
Np 3.7307 0.0000 5.3464
Se 5.1506 2.3199 5.8086
Se 5.2360 2.3666 10.2400
Se 4.3413 0.0776 2.6954
Se 2.2255 5.4077 0.4529
Se 5.9562 6.2538 5.7993
Se 0.6938 3.8096 8.0290
Se 3.1202 7.6967 7.9975
Se 1.4198 1.5673 0.4622
Se 1.5053 1.5206 4.8936
Se 6.0417 6.2071 10.2307
Se 6.7677 3.9648 2.6638
Se 2.3109 5.4544 4.8842
```



Results for DFT total energy: -16.60; -15.65; -29.79; -95.37; -83.29; -57.20; -58.23; -53.16 (in eV/f.u., following the order of the records).